Density functional theory data (GGA+U) for a geometry-optimized FePtIO2 structure.

Computed properties:
V = 19.9 Å³ per atom
DOS at the Fermi energy = 4.3 states/eV/cell
Space-group type = P4/mmm, No. 123
VASP energy = -4.714 eV/atom

The structure in POSCAR format:
```
FePtIO2
1.0
3.782 0.000 0.000
0.000 3.782 0.000
0.000 0.000 6.962
I O Fe Pt
1 2 1 1
direct
0.000 0.000 0.500
0.000 0.500 0.000
0.500 0.000 0.000
0.000 0.000 0.000
0.500 0.500 0.500
```